RbPaGa2O8: relaxed, PBE.

Structure (POSCAR):
```
RbPaGa2O8
1.0
-3.4152 3.4152 4.0363
3.4152 -3.4152 4.0363
3.4152 3.4152 -4.0363
Rb Pa Ga O
1 1 2 8
direct
0.0000 0.0000 0.0000
0.2500 0.7500 0.5000
0.5000 0.5000 0.0000
0.7500 0.2500 0.5000
0.3373 0.1321 0.7948
0.3373 0.5425 0.2052
0.4310 0.0480 0.3831
0.4575 0.6627 0.7948
0.6649 0.0480 0.6169
0.8679 0.6627 0.2052
0.9520 0.3351 0.3831
0.9520 0.5690 0.6169
```

Computed properties:
The calculation puts the formation energy without anion corrections at -1.58 eV per atom. As for the calculated volume: 188.3 Å³/cell.


ScMnHg2Br: relaxed, PBE.

Structure (POSCAR):
```
ScMnHg2Br
1.0
5.9626 0.0000 0.0000
0.0000 5.9626 0.0000
0.0000 0.0000 4.9509
Sc Mn Hg Br
1 1 2 1
direct
0.0000 0.0000 0.0000
0.5000 0.5000 0.0000
0.0000 0.5000 0.5000
0.5000 0.0000 0.5000
0.0000 0.0000 0.5000
```

Computed properties:
The calculation puts the formation energy without anion corrections at 0.69 eV per atom. As for the calculated volume: 176.0 Å³/cell.


TaVTc2: relaxed, PBE.

Structure (POSCAR):
```
TaVTc2
1.0
6.9220 0.0000 0.0000
0.0000 6.9220 0.0000
0.0000 0.0000 5.3988
Ta V Tc
4 4 8
direct
0.0000 0.0000 0.0000
0.0000 0.5000 0.2500
0.5000 0.0000 0.7500
0.5000 0.5000 0.5000
0.0000 0.0000 0.5000
0.0000 0.5000 0.7500
0.5000 0.0000 0.2500
0.5000 0.5000 0.0000
0.2298 0.2500 0.6250
0.2500 0.7298 0.8750
0.2500 0.7702 0.3750
0.2702 0.2500 0.1250
0.7298 0.7500 0.1250
0.7500 0.2298 0.3750
0.7500 0.2702 0.8750
0.7702 0.7500 0.6250
```

Computed properties:
The value obtained for the formation energy is 0.467 eV/atom. As for the calculated volume: 258.7 Å³/cell.


NdP2O10: relaxed, PBE.

Structure (POSCAR):
```
NdP2O10
1.0
10.9306 0.0000 0.0000
0.0000 13.0772 0.0000
0.0000 0.0000 6.8175
Nd P O
4 8 40
direct
0.2420 0.2500 0.2500
0.2580 0.7500 0.2500
0.7420 0.2500 0.7500
0.7580 0.7500 0.7500
0.0045 0.5907 0.0117
0.0045 0.9093 0.4883
0.4955 0.0907 0.4883
0.4955 0.4093 0.0117
0.5045 0.5907 0.9883
0.5045 0.9093 0.5117
0.9955 0.0907 0.5117
0.9955 0.4093 0.9883
0.0603 0.5027 0.8632
0.0603 0.9973 0.6368
0.0876 0.1576 0.4118
0.0876 0.3424 0.0882
0.1025 0.6430 0.1276
0.1025 0.8570 0.3724
0.2278 0.0996 0.0186
0.2278 0.4004 0.4814
0.2338 0.6731 0.5917
0.2338 0.8269 0.9083
0.2662 0.1731 0.9083
0.2662 0.3269 0.5917
0.2722 0.5996 0.4814
0.2722 0.9004 0.0186
0.3975 0.1430 0.3724
0.3975 0.3570 0.1276
0.4124 0.6576 0.0882
0.4124 0.8424 0.4118
0.4397 0.0027 0.6368
0.4397 0.4973 0.8632
0.5603 0.5027 0.1368
0.5603 0.9973 0.3632
0.5876 0.1576 0.5882
0.5876 0.3424 0.9118
0.6025 0.6430 0.8724
0.6025 0.8570 0.6276
0.7278 0.0996 0.9814
0.7278 0.4004 0.5186
0.7338 0.6731 0.4083
0.7338 0.8269 0.0917
0.7662 0.1731 0.0917
0.7662 0.3269 0.4083
0.7722 0.5996 0.5186
0.7722 0.9004 0.9814
0.8975 0.1430 0.6276
0.8975 0.3570 0.8724
0.9124 0.6576 0.9118
0.9124 0.8424 0.5882
0.9397 0.0027 0.3632
0.9397 0.4973 0.1368
```

Computed properties:
The calculation puts the formation energy without anion corrections at -1.76 eV per atom. As for the calculated volume: 974.5 Å³/cell.


The calculation returns the following Fermi-level density of states values, one per record and in order: 0.00; 7.22; 4.63; 2.13 states/eV/f.u..